1.
Compound: InTe2Au
Source: the Alexandria database
Functional: GGA-PBEsol
Structure: optimized geometry

Properties
SG	I-4m2 (119)
raw total energy	-3.30	eV/atom
formation energy (no corrections)	188	meV/atom

Cell lengths 5.240, 5.240, 7.048 Å; angles 90.00, 90.00, 90.00 degrees
Atoms (fractional coordinates):
1 In 0.000 0.000 0.000
2 In 0.500 0.500 0.500
3 Te 0.000 0.000 0.500
4 Te 0.000 0.500 0.250
5 Te 0.500 0.000 0.750
6 Te 0.500 0.500 0.000
7 Au 0.000 0.500 0.750
8 Au 0.500 0.000 0.250

2.
Compound: ThInAu2
Source: the Alexandria database
Functional: GGA-PBEsol
Structure: optimized geometry

Properties
E_form	-650	meV per atom
SG	Fm-3m (225)
raw total energy	-5.38	eV/atom

Cell lengths 7.062, 7.062, 7.062 Å; angles 90.00, 90.00, 90.00 degrees
Atoms (fractional coordinates):
1 Th 0.000 0.000 0.000
2 Th 0.000 0.500 0.500
3 Th 0.500 0.000 0.500
4 Th 0.500 0.500 0.000
5 In 0.000 0.000 0.500
6 In 0.000 0.500 0.000
7 In 0.500 0.000 0.000
8 In 0.500 0.500 0.500
9 Au 0.250 0.250 0.250
10 Au 0.250 0.250 0.750
11 Au 0.250 0.750 0.250
12 Au 0.250 0.750 0.750
13 Au 0.750 0.250 0.250
14 Au 0.750 0.250 0.750
15 Au 0.750 0.750 0.250
16 Au 0.750 0.750 0.750